No. 1
InMoW2 | PBE | relaxed

The structure belongs to space group Cmmm (No. 65); the cell edges are 5.602, 8.746 and 2.799 Å and the angles 90.00°, 90.00° and 90.00°. The asymmetric unit holds In at (0.000, 0.000, 0.000), Mo at (0.000, 0.500, 0.000) and W at (0.250, 0.250, 0.500).

For the total magnetic moment, the calculation gives 0.00 μB/f.u. For the formation energy, the calculation gives 0.553 eV per atom.

***

No. 2
LaEr2TlC | PBE | relaxed

The structure belongs to space group P4/mmm (No. 123); the cell edges are 4.923, 4.923 and 5.184 Å and the angles 90.00°, 90.00° and 90.00°. The asymmetric unit holds La at (0.000, 0.000, 0.000), Er at (0.000, 0.500, 0.500), Tl at (0.500, 0.500, 0.000) and C at (0.000, 0.000, 0.500).

For the total magnetic moment, the calculation gives 0.00 μB/f.u. For the formation energy, the calculation gives -0.379 eV per atom.